Record 1
Below is an optimized crystal structure of Np3As2H4Pd2, with properties calculated at the PBE level.

Output
Magnetic moment, μB per formula unit: 11.09
Total DFT energy (no corrections), eV per cell: -73.2
N(E_F), states/eV/cell: 16.83

a = 3.8209 Å, b = 3.8209 Å, c = 11.9228 Å
α = 99.22°, β = 99.22°, γ = 90.00°
Each line ends with the local moment (μB).
Sites, in units of the cell vectors:
Np 0.0000 0.0000 0.0000  3.60
Np 0.3950 0.3950 0.7900  3.59
Np 0.6050 0.6050 0.2100  3.59
As 0.2655 0.2655 0.5310  -0.03
As 0.7345 0.7345 0.4690  -0.03
H 0.4500 0.9500 0.9000  -0.02
H 0.9500 0.4500 0.9000  -0.02
H 0.0500 0.5500 0.1000  -0.02
H 0.5500 0.0500 0.1000  -0.02
Pd 0.1569 0.1569 0.3139  -0.09
Pd 0.8431 0.8431 0.6861  -0.09

---

Record 2
Below is an optimized crystal structure of NpAsHPd, with properties calculated at the PBE level.

Output
Magnetic moment, μB per formula unit: 3.86
Total DFT energy (no corrections), eV per cell: -28.1
N(E_F), states/eV/cell: 8.07

a = 4.3303 Å, b = 4.3311 Å, c = 3.8878 Å
α = 90.01°, β = 90.00°, γ = 120.02°
Each line ends with the local moment (μB).
Sites, in units of the cell vectors:
Np 0.5718 0.1438 0.3107  3.76
As 0.9054 0.8105 0.8471  -0.08
H 0.2387 0.4771 0.3038  -0.01
Pd 0.2385 0.4772 0.7775  0.02

---

Record 3
Below is an optimized crystal structure of NpAsHPt, with properties calculated at the PBE level.

Output
Magnetic moment, μB per formula unit: 3.90
Total DFT energy (no corrections), eV per cell: -29.1
N(E_F), states/eV/cell: 8.04

a = 4.3445 Å, b = 4.3444 Å, c = 3.8916 Å
α = 90.00°, β = 90.00°, γ = 120.00°
Each line ends with the local moment (μB).
Sites, in units of the cell vectors:
Np 0.5719 0.1438 0.3131  3.79
As 0.9053 0.8105 0.8543  -0.06
H 0.2386 0.4772 0.3019  -0.01
Pt 0.2386 0.4771 0.7698  -0.01

---

Calculated volume for every record listed, in sequence, given in Å³ per cell: 169.54, 63.14, 63.61.